Compound: K2SrTcPt
Source: Alexandria via LeMat-Bulk
Functional: PBE
Structure: relaxed

Calculated values
Crystal system: tetragonal
N(E_F) (states/eV/atom): 1.04
Formation energy (kJ/mol of atoms): 72

a b c (Å): 6.1346 6.1346 4.9907
angles (deg): 90.00 90.00 90.00
Last column: nearest neighbours and their distance in Å.
Space group P4/mmm (No. 123)
Inequivalent atoms, fractional coordinates:
K: 0.0000 0.5000 0.0000 [2 per cell]  2 Pt 3.07
Sr: 0.0000 0.0000 0.5000 [1 per cell]  8 K 3.95, 4 Tc 4.34
Tc: 0.5000 0.5000 0.5000 [1 per cell]  2 Pt 2.50
Pt: 0.5000 0.5000 0.0000 [1 per cell]  2 Tc 2.50